## 1
Entry from Alexandria via LeMat-Bulk: a relaxed structure of Ho4AgAu2 (GGA-PBE).

a = 4.8078 Å, b = 4.8078 Å, c = 9.9003 Å
α = 75.95°, β = 75.95°, γ = 60.00°
Last column: nearest neighbours and their distance in Å.
Fractional coordinates of all 7 atoms:
Ho  0.1173  0.1173  0.6480  3 Ag 3.11, 3 Au 3.12
Ho  0.2970  0.2970  0.1090  4 Au 2.91-2.96
Au  0.5992  0.5992  0.2024  1 Ag 2.83, 7 Ho 2.91-3.12
Ag  0.5000  0.5000  0.5000  2 Au 2.83, 6 Ho 3.11
Au  0.4008  0.4008  0.7976  1 Ag 2.83, 7 Ho 2.91-3.12
Ho  0.7030  0.7030  0.8910  4 Au 2.91-2.96
Ho  0.8827  0.8827  0.3520  3 Ag 3.11, 3 Au 3.12

total magnetization = 0.00 μB per formula unit


## 2
Entry from Alexandria via LeMat-Bulk: a relaxed structure of Ho4AgAu2 (GGA-PBE).

a = 5.0178 Å, b = 5.0178 Å, c = 8.7299 Å
α = 73.30°, β = 73.30°, γ = 60.00°
Last column: nearest neighbours and their distance in Å.
Fractional coordinates of all 7 atoms:
Au  0.7535  0.7535  0.7395  8 Ho 2.97-3.23
Ag  0.0000  0.0000  0.0000  8 Ho 3.09-3.12
Ho  0.8736  0.8736  0.3792  4 Au 2.97-3.06, 1 Ag 3.12
Ho  0.1264  0.1264  0.6208  4 Au 2.97-3.06, 1 Ag 3.12
Ho  0.6229  0.6229  0.1314  4 Au 3.09-3.23, 3 Ag 3.09
Au  0.2465  0.2465  0.2605  8 Ho 2.97-3.23
Ho  0.3771  0.3771  0.8686  4 Au 3.09-3.23, 3 Ag 3.09

total magnetization = 0.00 μB per formula unit


Relative energy of each structure, in eV/atom: 1 0.112; 2 0.000.


## 1
Entry from Alexandria via LeMat-Bulk: a relaxed structure of LaHoAgAu (GGA-PBE).

a = 3.6458 Å, b = 3.6458 Å, c = 7.5972 Å
α = 90.00°, β = 90.00°, γ = 90.00°
Last column: nearest neighbours and their distance in Å.
Fractional coordinates of all 4 atoms:
Ho  0.0000  0.0000  0.3501  4 Au 3.04, 4 Ag 3.11
La  0.0000  0.0000  0.8624  4 Au 3.32, 4 Ag 3.36, 4 La 3.65, 1 Ho 3.71
Au  0.5000  0.5000  0.1371  4 Ho 3.04, 4 La 3.32, 1 Ag 3.35
Ag  0.5000  0.5000  0.5783  4 Ho 3.11, 1 Au 3.35, 4 La 3.36

total magnetization = 0.00 μB per formula unit


## 2
Entry from Alexandria via LeMat-Bulk: a relaxed structure of LaHoAgAu (GGA-PBE).

a = 5.2441 Å, b = 5.2441 Å, c = 5.2441 Å
α = 60.00°, β = 60.00°, γ = 60.00°
Last column: nearest neighbours and their distance in Å.
Fractional coordinates of all 4 atoms:
Au  0.7500  0.7500  0.7500  4 La 3.21, 4 Ho 3.21
Ho  0.0000  0.0000  0.0000  4 Ag 3.21, 4 Au 3.21
La  0.5000  0.5000  0.5000  4 Ag 3.21, 4 Au 3.21
Ag  0.2500  0.2500  0.2500  4 La 3.21, 4 Ho 3.21

total magnetization = 0.00 μB per formula unit


Relative energy of each structure, in eV/atom: 1 0.000; 2 0.040.


## 1
Entry from Alexandria via LeMat-Bulk: a relaxed structure of PmHoAgAu (GGA-PBE).

a = 3.6205 Å, b = 3.6205 Å, c = 7.4335 Å
α = 90.00°, β = 90.00°, γ = 90.00°
Last column: nearest neighbours and their distance in Å.
Fractional coordinates of all 4 atoms:
Pm  0.5000  0.5000  0.6021  4 Au 3.23, 4 Ag 3.27
Ag  0.0000  0.0000  0.8755  4 Ho 3.11, 4 Pm 3.27, 1 Au 3.43
Au  0.0000  0.0000  0.3370  4 Ho 3.05, 4 Pm 3.23
Ho  0.5000  0.5000  0.1134  4 Au 3.05, 4 Ag 3.11

total magnetization = 0.00 μB per formula unit


## 2
Entry from Alexandria via LeMat-Bulk: a relaxed structure of PmHoAgAu (GGA-PBE).

a = 5.1696 Å, b = 5.1696 Å, c = 5.1696 Å
α = 60.00°, β = 60.00°, γ = 60.00°
Last column: nearest neighbours and their distance in Å.
Fractional coordinates of all 4 atoms:
Pm  0.5000  0.5000  0.5000  4 Ag 3.17, 4 Au 3.17
Ag  0.2500  0.2500  0.2500  4 Ho 3.17, 4 Pm 3.17
Au  0.7500  0.7500  0.7500  4 Ho 3.17, 4 Pm 3.17
Ho  0.0000  0.0000  0.0000  4 Ag 3.17, 4 Au 3.17

total magnetization = 0.00 μB per formula unit


Relative energy of each structure, in eV/atom: 1 0.000; 2 0.018.